# CrSbMo2 PBE optimized geometry
# total energy	-8.506	eV/atom
# crystal system	tetragonal
data_CrSbMo2
_chemical_formula_sum 'Cr1 Sb1 Mo2'
_cell_length_a 3.026
_cell_length_b 3.026
_cell_length_c 7.100
_cell_angle_alpha 90.00
_cell_angle_beta 90.00
_cell_angle_gamma 90.00
_symmetry_space_group_name_H-M 'P 4/m m m'
_symmetry_Int_Tables_number 123
_symmetry_space_group_name_Hall '-P 4 2'
loop_
_atom_site_label
_atom_site_fract_x
_atom_site_fract_y
_atom_site_fract_z
Cr1 0.000 0.000 0.000
Sb1 0.000 0.000 0.500
Mo1 0.500 0.500 0.214

---

# Hf2Si2Ag PBE optimized geometry
# total energy	-7.246	eV/atom
# crystal system	tetragonal
data_Hf2Si2Ag
_chemical_formula_sum 'Hf4 Si4 Ag2'
_cell_length_a 6.719
_cell_length_b 6.719
_cell_length_c 3.834
_cell_angle_alpha 90.00
_cell_angle_beta 90.00
_cell_angle_gamma 90.00
_symmetry_space_group_name_H-M 'P 4/m b m'
_symmetry_Int_Tables_number 127
_symmetry_space_group_name_Hall '-P 4 2ab'
loop_
_atom_site_label
_atom_site_fract_x
_atom_site_fract_y
_atom_site_fract_z
Hf1 0.177 0.323 0.000
Si1 0.123 0.623 0.500
Ag1 0.000 0.000 0.500

---

# LiReSi2 PBE optimized geometry
# total energy	-6.436	eV/atom
# crystal system	tetragonal
data_LiReSi2
_chemical_formula_sum 'Li1 Re1 Si2'
_cell_length_a 3.248
_cell_length_b 3.248
_cell_length_c 4.996
_cell_angle_alpha 90.00
_cell_angle_beta 90.00
_cell_angle_gamma 90.00
_symmetry_space_group_name_H-M 'P 4 m m'
_symmetry_Int_Tables_number 99
loop_
_symmetry_equiv_pos_as_xyz
'x,y,z'
'-y,x,z'
'-x,-y,z'
'y,-x,z'
'-x,y,z'
'y,x,z'
'x,-y,z'
'-y,-x,z'
loop_
_atom_site_label
_atom_site_fract_x
_atom_site_fract_y
_atom_site_fract_z
Li1 0.000 0.000 0.000
Re1 0.500 0.500 0.279
Si1 0.000 0.000 0.492
Si2 0.500 0.500 0.776

---

# CsNaInPb PBE optimized geometry
# energy of formation from the pure elements	-2.169	kcal/mol of atoms
# crystal system	monoclinic
data_CsNaInPb
_chemical_formula_sum 'Cs2 Na2 In2 Pb2'
_cell_length_a 9.245
_cell_length_b 5.555
_cell_length_c 7.727
_cell_angle_alpha 90.00
_cell_angle_beta 114.61
_cell_angle_gamma 90.00
_symmetry_space_group_name_H-M 'C 1 m 1'
_symmetry_Int_Tables_number 8
loop_
_symmetry_equiv_pos_as_xyz
'x,y,z'
'x,-y,z'
'x+1/2,y+1/2,z'
'x+1/2,-y+1/2,z'
loop_
_atom_site_label
_atom_site_fract_x
_atom_site_fract_y
_atom_site_fract_z
Cs1 0.000 0.000 0.000
Na1 0.197 0.000 0.566
In1 0.471 0.000 0.403
Pb1 0.310 0.500 0.407

---

# PmNd3Te4 PBE optimized geometry
# total energy	-5.371	eV/atom
# crystal system	orthorhombic
data_PmNd3Te4
_chemical_formula_sum 'Pm2 Nd6 Te8'
_cell_length_a 9.060
_cell_length_b 12.703
_cell_length_c 4.451
_cell_angle_alpha 90.00
_cell_angle_beta 90.00
_cell_angle_gamma 90.00
_symmetry_space_group_name_H-M 'C m m m'
_symmetry_Int_Tables_number 65
_symmetry_space_group_name_Hall '-C 2 2'
loop_
_atom_site_label
_atom_site_fract_x
_atom_site_fract_y
_atom_site_fract_z
Pm1 0.000 0.000 0.000
Nd1 0.000 0.500 0.000
Nd2 0.250 0.250 0.500
Te1 0.000 0.249 0.000
Te2 0.248 0.000 0.500

---

# NdTmCo PBE optimized geometry
# energy of formation from the pure elements	-2.705	kcal/mol of atoms
# crystal system	monoclinic
data_NdTmCo
_chemical_formula_sum 'Nd4 Tm4 Co4'
_cell_length_a 11.330
_cell_length_b 3.777
_cell_length_c 8.490
_cell_angle_alpha 90.00
_cell_angle_beta 126.15
_cell_angle_gamma 90.00
_symmetry_space_group_name_H-M 'C 1 2/m 1'
_symmetry_Int_Tables_number 12
loop_
_symmetry_equiv_pos_as_xyz
'x,y,z'
'-x,-y,-z'
'-x,y,-z'
'x,-y,z'
'x+1/2,y+1/2,z'
'-x+1/2,-y+1/2,-z'
'-x+1/2,y+1/2,-z'
'x+1/2,-y+1/2,z'
loop_
_atom_site_label
_atom_site_fract_x
_atom_site_fract_y
_atom_site_fract_z
Nd1 0.183 0.000 0.104
Tm1 0.080 0.500 0.374
Co1 0.122 0.000 0.638

---

# Lu2ScBr PBE optimized geometry
# total energy	-4.722	eV/atom
# crystal system	trigonal
data_Lu2ScBr
_chemical_formula_sum 'Lu6 Sc3 Br3'
_cell_length_a 3.5426
_cell_length_b 3.5426
_cell_length_c 29.2392
_cell_angle_alpha 90.00
_cell_angle_beta 90.00
_cell_angle_gamma 120.00
_symmetry_space_group_name_H-M 'R -3 m'
_symmetry_Int_Tables_number 166
_symmetry_space_group_name_Hall '-R 3 2"'
loop_
_atom_site_label
_atom_site_fract_x
_atom_site_fract_y
_atom_site_fract_z
Lu1 0.0000 0.0000 0.2461
Sc1 0.0000 0.0000 0.0000
Br1 0.0000 0.0000 0.5000

---

# TbPr4Y8 PBE optimized geometry
# energy of formation from the pure elements	11.893	kcal/mol of atoms
# crystal system	trigonal
data_TbPr4Y8
_chemical_formula_sum 'Tb3 Pr12 Y24'
_cell_length_a 11.1439
_cell_length_b 11.1439
_cell_length_c 13.6251
_cell_angle_alpha 90.00
_cell_angle_beta 90.00
_cell_angle_gamma 120.00
_symmetry_space_group_name_H-M 'R -3 m'
_symmetry_Int_Tables_number 166
_symmetry_space_group_name_Hall '-R 3 2"'
loop_
_atom_site_label
_atom_site_fract_x
_atom_site_fract_y
_atom_site_fract_z
Tb1 0.0000 0.0000 0.0000
Pr1 0.0000 0.0000 0.5000
Pr2 0.0000 0.5000 0.5000
Y1 0.0000 0.0000 0.2596
Y2 0.0128 0.5064 0.2464

---

Question: Number 6 is which compound?
Answer: NdTmCo